# Ac6Pr3Nd2 (GGA-PBE, relaxed)
# * V: 40.80 A^3/atom
# * uncorrected energy: -48.18 eV for the cell shown
# * Fermi-level density of states: 1.876 states/eV per atom
data_Ac6Pr3Nd2
_chemical_formula_sum 'Ac6 Pr3 Nd2'
_space_group_name_H-M_alt 'P 1'
_space_group_IT_number 1
_space_group_name_Hall 'P 1'
_cell_length_a 6.690
_cell_length_b 8.640
_cell_length_c 15.915
_cell_angle_alpha 49.40
_cell_angle_beta 60.60
_cell_angle_gamma 97.31
loop_
_atom_site_label
_atom_site_type_symbol
_atom_site_fract_x
_atom_site_fract_y
_atom_site_fract_z
Ac1 Ac 0.088 0.636 0.733
Ac2 Ac 0.734 0.087 0.818
Ac3 Ac 0.912 0.364 0.267
Ac4 Ac 0.266 0.913 0.182
Ac5 Ac 0.816 0.721 0.548
Ac6 Ac 0.184 0.279 0.452
Pr1 Pr 0.000 0.000 0.000
Pr2 Pr 0.551 0.827 0.357
Pr3 Pr 0.449 0.173 0.643
Nd1 Nd 0.643 0.459 0.088
Nd2 Nd 0.357 0.541 0.912

# Ac2Pr5Nd12 (GGA-PBE, relaxed)
# * V: 36.79 A^3/atom
# * uncorrected energy: -87.40 eV for the cell shown
# * distance to the lowest polymorph of the same formula: 6 meV per atom
# * Fermi-level density of states: 1.610 states/eV per atom
data_Ac2Pr5Nd12
_chemical_formula_sum 'Ac2 Pr5 Nd12'
_space_group_name_H-M_alt 'P 1'
_space_group_IT_number 1
_space_group_name_Hall 'P 1'
_cell_length_a 11.910
_cell_length_b 9.012
_cell_length_c 9.733
_cell_angle_alpha 70.12
_cell_angle_beta 90.00
_cell_angle_gamma 131.36
loop_
_atom_site_label
_atom_site_type_symbol
_atom_site_fract_x
_atom_site_fract_y
_atom_site_fract_z
Ac1 Ac 0.737 0.000 0.000
Ac2 Ac 0.263 0.000 0.000
Pr1 Pr 0.190 0.381 0.673
Pr2 Pr 0.309 0.618 0.239
Pr3 Pr 0.000 0.000 0.500
Pr4 Pr 0.691 0.382 0.761
Pr5 Pr 0.810 0.619 0.327
Nd1 Nd 0.129 0.258 0.055
Nd2 Nd 0.056 0.619 0.804
Nd3 Nd 0.564 0.619 0.804
Nd4 Nd 0.171 0.784 0.426
Nd5 Nd 0.613 0.784 0.426
Nd6 Nd 0.426 0.852 0.774
Nd7 Nd 0.574 0.148 0.226
Nd8 Nd 0.829 0.216 0.574
Nd9 Nd 0.387 0.216 0.574
Nd10 Nd 0.944 0.381 0.196
Nd11 Nd 0.436 0.381 0.196
Nd12 Nd 0.871 0.742 0.945

# Ac2Pr5Nd2 (GGA-PBE, relaxed)
# * V: 38.32 A^3/atom
# * uncorrected energy: -40.81 eV for the cell shown
# * distance to the lowest polymorph of the same formula: 0 meV per atom
# * Fermi-level density of states: 1.528 states/eV per atom
data_Ac2Pr5Nd2
_chemical_formula_sum 'Ac2 Pr5 Nd2'
_space_group_name_H-M_alt 'P 1'
_space_group_IT_number 1
_space_group_name_Hall 'P 1'
_cell_length_a 3.701
_cell_length_b 10.309
_cell_length_c 9.485
_cell_angle_alpha 76.64
_cell_angle_beta 101.25
_cell_angle_gamma 90.00
loop_
_atom_site_label
_atom_site_type_symbol
_atom_site_fract_x
_atom_site_fract_y
_atom_site_fract_z
Ac1 Ac 0.486 0.683 0.972
Ac2 Ac 0.514 0.317 0.028
Pr1 Pr 0.662 0.793 0.324
Pr2 Pr 0.338 0.207 0.676
Pr3 Pr 0.837 0.526 0.674
Pr4 Pr 0.163 0.474 0.326
Pr5 Pr 0.000 0.000 0.000
Nd1 Nd 0.829 0.904 0.657
Nd2 Nd 0.171 0.096 0.343